## Na2LiTeN (GGA-PBEsol)

Data for a geometry-optimized Na2LiTeN structure.

Calculated values
ΔE_f (raw) = -0.096 eV per atom
final energy = -3.46 eV per atom
crystal system = tetragonal

a b c (Å): 4.862 4.862 4.105
angles (deg): 90.00 90.00 90.00
Space group P4/mmm (No. 123)
One atom of each set of equivalent atoms:
Na  0.000  0.500  0.000
Li  0.000  0.000  0.500
Te  0.500  0.500  0.500
N  0.000  0.000  0.000

***

## LiNbNO2 (GGA-PBEsol)

Data for a geometry-optimized LiNbNO2 structure.

Calculated values
ΔE_f (raw) = -1.354 eV per atom
final energy = -7.72 eV per atom
crystal system = tetragonal

a b c (Å): 3.973 3.973 4.065
angles (deg): 90.00 90.00 90.00
Space group P4/mmm (No. 123)
One atom of each set of equivalent atoms:
Li  0.000  0.000  0.000
Nb  0.500  0.500  0.500
N  0.500  0.500  0.000
O  0.000  0.500  0.500

***

## LiNbS2N (GGA-PBEsol)

Data for a geometry-optimized LiNbS2N structure.

Calculated values
ΔE_f (raw) = -0.413 eV per atom
final energy = -6.43 eV per atom
crystal system = tetragonal

a b c (Å): 4.864 4.864 3.969
angles (deg): 90.00 90.00 90.00
Space group P4/mmm (No. 123)
One atom of each set of equivalent atoms:
Li  0.000  0.000  0.000
Nb  0.500  0.500  0.500
S  0.000  0.500  0.500
N  0.500  0.500  0.000

***

## Sr2Li3NbN4 (GGA-PBEsol)

Data for a geometry-optimized Sr2Li3NbN4 structure.

Calculated values
ΔE_f (raw) = -0.953 eV per atom
final energy = -6.40 eV per atom
crystal system = orthorhombic

a b c (Å): 8.659 8.915 6.962
angles (deg): 90.00 90.00 90.00
Space group Pnnm (No. 58)
One atom of each set of equivalent atoms:
Sr  0.000  0.000  0.240
Sr  0.241  0.248  0.500
Li  0.019  0.635  0.261
Li  0.205  0.579  0.500
Nb  0.214  0.363  0.000
N  0.045  0.216  0.000
N  0.072  0.780  0.500
N  0.198  0.483  0.236

***

## LiNbTe2N (GGA-PBEsol)

Data for a geometry-optimized LiNbTe2N structure.

Calculated values
ΔE_f (raw) = -0.135 eV per atom
final energy = -5.81 eV per atom
crystal system = tetragonal

a b c (Å): 5.579 5.579 3.878
angles (deg): 90.00 90.00 90.00
Space group P4/mmm (No. 123)
One atom of each set of equivalent atoms:
Li  0.000  0.000  0.000
Nb  0.500  0.500  0.500
Te  0.000  0.500  0.500
N  0.500  0.500  0.000

***

## LiNb2TlN (GGA-PBEsol)

Data for a geometry-optimized LiNb2TlN structure.

Calculated values
ΔE_f (raw) = 1.000 eV per atom
final energy = -5.95 eV per atom
crystal system = tetragonal

a b c (Å): 4.745 4.745 3.291
angles (deg): 90.00 90.00 90.00
Space group P4/mmm (No. 123)
One atom of each set of equivalent atoms:
Li  0.000  0.000  0.000
Nb  0.000  0.500  0.000
Tl  0.500  0.500  0.500
N  0.000  0.000  0.500

***

- The highest ΔE_f (raw) belongs to which entry?
  LiNb2TlN